1.
Pr2Sm12Y: relaxed, PBE-GGA.

Output
The volume comes out at 34.9 Å³ per atom. The density of states at the Fermi level is 44.6 states/eV/cell. As for the space-group type: No. 67. The final energy is -140.714 eV for the cell shown.

Lattice parameters (Å, degrees): 6.8204 6.8204 25.0788 90.00 90.00 116.28
Atoms (fractional coordinates):
Sm 0.7735 0.7265 0.4403
Pr 0.5000 0.0000 0.2662
Y 0.5000 0.0000 0.9998
Sm 0.0000 0.0000 0.3273
Sm 0.0000 0.0000 0.8008
Sm 0.7485 0.2485 0.8729
Sm 0.2693 0.7693 0.4179
Pr 0.0000 0.5000 0.7338
Pr 0.0000 0.5000 0.2736
Sm 0.2490 0.2510 0.9237
Sm 0.2510 0.2490 0.0763
Sm 0.2735 0.2265 0.5597
Sm 0.2307 0.7307 0.5821
Sm 0.7265 0.7735 0.5597
Sm 0.5000 0.5000 0.3273
Y 0.0000 0.5000 0.0002
Sm 0.7693 0.2693 0.5821
Sm 0.0000 0.0000 0.1992
Sm 0.7515 0.2515 0.1271
Sm 0.7307 0.2307 0.4179
Sm 0.5000 0.5000 0.1992
Sm 0.7490 0.7510 0.0763
Sm 0.5000 0.5000 0.8008
Sm 0.2265 0.2735 0.4403
Sm 0.7510 0.7490 0.9237
Sm 0.5000 0.5000 0.6727
Pr 0.5000 0.0000 0.7264
Sm 0.0000 0.0000 0.6727
Sm 0.2485 0.7485 0.1271
Sm 0.2515 0.7515 0.8729

---

2.
BaZn: relaxed, PBE-GGA.

Output
The volume comes out at 37.6 Å³ per atom. The density of states at the Fermi level is 2.4 states/eV/cell. As for the space-group type: No. 129. The final energy is -6.594 eV for the cell shown.

Lattice parameters (Å, degrees): 4.1419 4.1419 8.7556 90.00 90.00 90.00
Atoms (fractional coordinates):
Ba 0.7500 0.7500 0.2875
Zn 0.7500 0.7500 0.9161
Ba 0.2500 0.2500 0.7125
Zn 0.2500 0.2500 0.0839

---

3.
La3TbPr2S6: relaxed, PBE-GGA.

Output
The volume comes out at 24.4 Å³ per atom. As for the formation energy (no corrections): -2097.8 meV per atom. The density of states at the Fermi level is 5.7 states/eV/cell. As for the space-group type: No. 12. The final energy is -78.910 eV for the cell shown.

Lattice parameters (Å, degrees): 7.1094 7.1094 7.0978 99.63 99.63 120.08
Atoms (fractional coordinates):
S 0.2423 0.2423 0.7554
S 0.9198 0.5958 0.7587
S 0.0802 0.4042 0.2413
La 0.5000 0.5000 0.5000
S 0.5958 0.9198 0.7587
La 0.1699 0.8301 0.5000
Pr 0.3333 0.6667 0.0000
La 0.8301 0.1699 0.5000
S 0.4042 0.0802 0.2413
Tb 0.0000 0.0000 0.0000
Pr 0.6667 0.3333 0.0000
S 0.7577 0.7577 0.2446

---

4.
CePrGe: relaxed, PBE-GGA.

Output
The volume comes out at 27.2 Å³ per atom. The density of states at the Fermi level is 6.4 states/eV/cell. As for the space-group type: No. 156. The final energy is -16.277 eV for the cell shown.

Lattice parameters (Å, degrees): 4.1862 4.7472 4.7472 120.00 90.00 90.00
Each line ends with the local moment (μB).
Atoms (fractional coordinates):
Ge 0.3240 0.3333 0.6667  -0.01
Pr 0.6302 0.6667 0.3333  0.05
Ce 0.0458 0.0000 0.0000  0.71

---

5.
Ca3PtPb2: relaxed, PBE-GGA.

Output
The volume comes out at 29.7 Å³ per atom. The density of states at the Fermi level is 17.8 states/eV/cell. As for the space-group type: No. 62. The final energy is -92.741 eV for the cell shown.

Lattice parameters (Å, degrees): 4.3743 12.5806 12.9516 90.00 90.00 90.00
Atoms (fractional coordinates):
Pb 0.2500 0.6998 0.5036
Ca 0.2500 0.7129 0.2426
Pb 0.7500 0.5069 0.1928
Pb 0.2500 0.4931 0.8072
Pb 0.7500 0.1998 0.9964
Ca 0.7500 0.5392 0.6135
Ca 0.2500 0.4608 0.3865
Pb 0.2500 0.0069 0.3072
Ca 0.2500 0.3775 0.0496
Pb 0.7500 0.9931 0.6928
Ca 0.7500 0.8775 0.4504
Pt 0.2500 0.3699 0.6230
Ca 0.7500 0.6225 0.9504
Pb 0.7500 0.3002 0.4964
Ca 0.7500 0.2129 0.2574
Pt 0.7500 0.8699 0.8770
Ca 0.7500 0.9608 0.1135
Ca 0.2500 0.1225 0.5496
Ca 0.2500 0.0392 0.8865
Pb 0.2500 0.8002 0.0036
Pt 0.2500 0.1301 0.1230
Ca 0.2500 0.7871 0.7426
Ca 0.7500 0.2871 0.7574
Pt 0.7500 0.6301 0.3770